No. 1
A plane-wave DFT calculation with GGA+U was carried out for a relaxed K2CeCoO4 crystal.

The structure belongs to space group I-4 (No. 82); the cell edges are 6.064, 6.064 and 7.985 Å and the angles 90.00°, 90.00° and 90.00°. The distinct sites, in fractional coordinates, are K at (0.000, 0.000, 0.000), K at (0.000, 0.500, 0.250), Ce at (0.000, 0.500, 0.750), Co at (0.000, 0.000, 0.500) and O at (0.161, 0.244, 0.614).

=====

No. 2
A plane-wave DFT calculation with GGA+U was carried out for a relaxed K4Ce3CoO8 crystal.

The structure belongs to space group R-3m (No. 166, hexagonal axes); the cell edges are 7.0868, 7.0868 and 18.7045 Å and the angles 90.00°, 90.00° and 120.00°. The distinct sites, in fractional coordinates, are K at (0.0000, 0.0000, 0.0000), K at (0.0000, 0.5000, 0.0000), Ce at (0.0000, 0.5000, 0.5000), Co at (0.0000, 0.0000, 0.5000), O at (0.0000, 0.0000, 0.2309) and O at (0.0212, 0.5106, 0.7705).

=====

Number 1: size of the total moment 3.010 μB per formula unit, final energy -98.0 eV per cell. Number 2: size of the total moment 3.068 μB per formula unit, final energy -312.2 eV per cell.